Record 1
A relaxed CeC3 crystal. Source: Alexandria, functional PBE.

a b c (Å): 4.035 4.434 6.178
angles (deg): 90.00 94.69 90.00
Space group P2_1/m (No. 11)
Symmetry-distinct sites (fractional):
Ce: 0.180 0.250 0.240 x2
C: 0.267 0.250 0.640 x2
C: 0.269 0.750 0.035 x2
C: 0.481 0.250 0.812 x2

- E_form (eV/atom) = 0.21

Record 2
A relaxed Ho2Al3Tc crystal. Source: Alexandria, functional PBE.

a b c (Å): 5.5120 5.5120 13.2417
angles (deg): 90.00 90.00 120.00
Space group R-3m (No. 166, hexagonal axes)
Symmetry-distinct sites (fractional):
Ho: 0.0000 0.0000 0.1279 x6
Al: 0.0000 0.5000 0.0000 x9
Tc: 0.0000 0.0000 0.5000 x3

- energy above the most stable polymorph in this dataset (kJ/mol of atoms) = 3.11
- E_form (eV/atom) = -0.49

Record 3
A relaxed LaCe4Pb2 crystal. Source: Alexandria, functional PBE.

a b c (Å): 4.282 4.282 21.577
angles (deg): 90.00 90.00 90.00
Space group I4/mmm (No. 139)
Symmetry-distinct sites (fractional):
La: 0.000 0.000 0.000 x2
Ce: 0.000 0.000 0.153 x4
Ce: 0.000 0.500 0.250 x4
Pb: 0.000 0.000 0.416 x4

- E_form (eV/atom) = -0.06